## w
Computed, not measured: crystalline Sn2AsAu2 at its relaxed geometry at the PBE-GGA level of DFT.

DOS(E_F) = 2.74 states/eV/cell

a = 3.8439 Å, b = 3.8439 Å, c = 8.3683 Å
α = 76.72°, β = 76.72°, γ = 90.00°
With the nearest neighbours (Å) after each atom.
Fractional positions:
1 Au 0.7500 0.2500 0.5000  4 Au 2.72
2 Sn 0.5996 0.5996 0.8008  4 Au 3.06, 4 As 3.14, 1 Sn 3.15
3 Sn 0.4004 0.4004 0.1992  4 Au 3.06, 4 As 3.14, 1 Sn 3.15
4 As 0.0000 0.0000 0.0000  8 Sn 3.14
5 Au 0.2500 0.7500 0.5000  4 Au 2.72


## x
Computed, not measured: crystalline Sn2AsAu2 at its relaxed geometry at the PBE-GGA level of DFT.

DOS(E_F) = 3.46 states/eV/cell

a = 7.4313 Å, b = 7.4313 Å, c = 4.0966 Å
α = 90.00°, β = 90.00°, γ = 90.00°
With the nearest neighbours (Å) after each atom.
Fractional positions:
1 Au 0.1366 0.3634 0.0000  1 Au 2.87, 2 As 2.89, 6 Sn 2.89-3.07
2 Au 0.3634 0.8634 0.0000  1 Au 2.87, 2 As 2.89, 6 Sn 2.89-3.07
3 Au 0.8634 0.6366 0.0000  1 Au 2.87, 2 As 2.89, 6 Sn 2.89-3.07
4 Sn 0.3300 0.1700 0.5000  6 Au 2.89-3.07
5 Sn 0.6700 0.8300 0.5000  6 Au 2.89-3.07
6 Sn 0.8300 0.3300 0.5000  6 Au 2.89-3.07
7 Au 0.6366 0.1366 0.0000  1 Au 2.87, 2 As 2.89, 6 Sn 2.89-3.07
8 Sn 0.1700 0.6700 0.5000  6 Au 2.89-3.07
9 As 0.0000 0.0000 0.0000  4 Au 2.89
10 As 0.5000 0.5000 0.0000  4 Au 2.89


According to the calculations, the structures order from most to least stable as x, w.